The following is a PBE-GGA calculation of a relaxed CsTcW3 crystal, from Alexandria via LeMat-Bulk.

Properties
The value obtained for the raw total energy is -38.5 eV for the cell shown. Its formation energy is 2.311 eV per atom.

Cell lengths 4.915, 4.915, 4.915 Å; angles 90.00, 90.00, 90.00 degrees
Space group Pm-3m (No. 221)
Symmetry-distinct sites (fractional):
Cs  0.000  0.000  0.000
Tc  0.500  0.500  0.500
W  0.000  0.500  0.500